Record 1
VASP calculation (meta-GGA SCAN) on a PBEsol-optimized structure of IrAu2C.

Unit cell a=5.286 b=5.286 c=6.343 alpha=114.62 beta=114.62 gamma=90.00
Atoms (fractional coordinates):
C 0.750 0.250 0.500
C 0.500 0.500 0.000
Ir 0.250 0.750 0.500
Ir 0.000 0.000 0.000
Au 0.467 0.875 0.250
Au 0.783 0.375 0.250
Au 0.125 0.217 0.750
Au 0.625 0.533 0.750

Results
The formation enthalpy at 0 K comes out at 1694 meV per atom. The uncorrected energy comes out at -53.18 eV per atom. Its total magnetic moment is 0.0 μB per cell. The density is 13.88 Mg/m³.

Record 2
VASP calculation (meta-GGA SCAN) on a PBEsol-optimized structure of HfNiAg3.

Unit cell a=5.031 b=5.031 c=5.031 alpha=90.00 beta=90.00 gamma=90.00
Atoms (fractional coordinates):
Ni 0.500 0.500 0.500
Hf 0.000 0.000 0.000
Ag 0.000 0.500 0.000
Ag 0.000 0.000 0.500
Ag 0.500 0.000 0.000

Results
The formation enthalpy at 0 K comes out at 1789 meV per atom. The uncorrected energy comes out at -32.80 eV per atom. Its total magnetic moment is 1.8 μB per cell. The density is 7.31 Mg/m³.